1.
Computed, not measured: a PBEsol-optimized structure of AlCoNiSe2 at the SCAN level of DFT.

```
data_AlCoNiSe2
_chemical_formula_sum 'Al1 Co1 Ni1 Se2'
_symmetry_space_group_name_H-M 'P 4/m m m'
_symmetry_Int_Tables_number 123
_symmetry_space_group_name_Hall '-P 4 2'
_cell_length_a 4.552
_cell_length_b 4.552
_cell_length_c 4.301
_cell_angle_alpha 90.00
_cell_angle_beta 90.00
_cell_angle_gamma 90.00
loop_
_atom_site_label
_atom_site_type_symbol
_atom_site_fract_x
_atom_site_fract_y
_atom_site_fract_z
Al1 Al 0.000 0.000 0.000
Co1 Co 0.500 0.500 0.500
Ni1 Ni 0.500 0.500 0.000
Se1 Se 0.000 0.500 0.500
```

Summary:
**Volume**: 89 Å³ per cell
**Uncorrected formation energy**: 2.92 eV per formula unit
**Energy**: -15.6936 eV/atom
**Theoretical density**: 5636 kg/m³
**M_tot**: 2.36 Bohr magnetons per cell

***

2.
Computed, not measured: a PBEsol-optimized structure of Al2CoOsO at the SCAN level of DFT.

```
data_Al2CoOsO
_chemical_formula_sum 'Al2 Co1 Os1 O1'
_symmetry_space_group_name_H-M 'P 4/m m m'
_symmetry_Int_Tables_number 123
_symmetry_space_group_name_Hall '-P 4 2'
_cell_length_a 4.352
_cell_length_b 4.352
_cell_length_c 4.250
_cell_angle_alpha 90.00
_cell_angle_beta 90.00
_cell_angle_gamma 90.00
loop_
_atom_site_label
_atom_site_type_symbol
_atom_site_fract_x
_atom_site_fract_y
_atom_site_fract_z
Al1 Al 0.000 0.500 0.000
Co1 Co 0.000 0.000 0.000
Os1 Os 0.000 0.000 0.500
O1 O 0.500 0.500 0.500
```

Summary:
**Volume**: 81 Å³ per cell
**Uncorrected formation energy**: 4.29 eV per formula unit
**Energy**: -21.3252 eV/atom
**Theoretical density**: 6582 kg/m³
**M_tot**: 1.73 Bohr magnetons per cell

***

3.
Computed, not measured: a PBEsol-optimized structure of AlCo2Os at the SCAN level of DFT.

```
data_AlCo2Os
_chemical_formula_sum 'Al3 Co6 Os3'
_symmetry_space_group_name_H-M 'R -3 m'
_symmetry_Int_Tables_number 166
_symmetry_space_group_name_Hall '-R 3 2"'
_cell_length_a 2.6248
_cell_length_b 2.6248
_cell_length_c 24.0535
_cell_angle_alpha 90.00
_cell_angle_beta 90.00
_cell_angle_gamma 120.00
loop_
_atom_site_label
_atom_site_type_symbol
_atom_site_fract_x
_atom_site_fract_y
_atom_site_fract_z
Al1 Al 0.0000 0.0000 0.0000
Co1 Co 0.0000 0.0000 0.2516
Os1 Os 0.0000 0.0000 0.5000
```

Summary:
**Volume**: 144 Å³ per cell
**Energy**: -28.5272 eV/atom
**Formation energy**: 32.8 meV per atom
**Theoretical density**: 11631 kg/m³
**M_tot**: 7.69 Bohr magnetons per cell

***

4.
Computed, not measured: a PBEsol-optimized structure of AlCo2Os at the SCAN level of DFT.

```
data_AlCo2Os
_chemical_formula_sum 'Al1 Co2 Os1'
_symmetry_space_group_name_H-M 'P 4 m m'
_symmetry_Int_Tables_number 99
_symmetry_space_group_name_Hall 'P 4 -2'
_cell_length_a 2.847
_cell_length_b 2.847
_cell_length_c 5.881
_cell_angle_alpha 90.00
_cell_angle_beta 90.00
_cell_angle_gamma 90.00
loop_
_atom_site_label
_atom_site_type_symbol
_atom_site_fract_x
_atom_site_fract_y
_atom_site_fract_z
Al1 Al 0.000 0.000 0.000
Co1 Co 0.000 0.000 0.464
Co2 Co 0.500 0.500 0.234
Os1 Os 0.500 0.500 0.720
```

Summary:
**Volume**: 48 Å³ per cell
**Energy**: -28.7509 eV/atom
**Formation energy**: -190.8 meV per atom
**Theoretical density**: 11677 kg/m³
**M_tot**: 3.58 Bohr magnetons per cell

***

5.
Computed, not measured: a PBEsol-optimized structure of Al2CoOs at the SCAN level of DFT.

```
data_Al2CoOs
_chemical_formula_sum 'Al8 Co4 Os4'
_symmetry_space_group_name_H-M 'F m -3 m'
_symmetry_Int_Tables_number 225
_symmetry_space_group_name_Hall '-F 4 2 3'
_cell_length_a 5.843
_cell_length_b 5.843
_cell_length_c 5.843
_cell_angle_alpha 90.00
_cell_angle_beta 90.00
_cell_angle_gamma 90.00
loop_
_atom_site_label
_atom_site_type_symbol
_atom_site_fract_x
_atom_site_fract_y
_atom_site_fract_z
Al1 Al 0.250 0.250 0.250
Co1 Co 0.000 0.000 0.000
Os1 Os 0.000 0.000 0.500
```

Summary:
**Volume**: 199 Å³ per cell
**Energy**: -26.8318 eV/atom
**Formation energy**: -659.8 meV per atom
**Theoretical density**: 10094 kg/m³
**M_tot**: 0.02 Bohr magnetons per cell

***

6.
Computed, not measured: a PBEsol-optimized structure of Al2CoOs at the SCAN level of DFT.

```
data_Al2CoOs
_chemical_formula_sum 'Al2 Co1 Os1'
_symmetry_space_group_name_H-M 'P 4/m m m'
_symmetry_Int_Tables_number 123
_symmetry_space_group_name_Hall '-P 4 2'
_cell_length_a 4.103
_cell_length_b 4.103
_cell_length_c 2.973
_cell_angle_alpha 90.00
_cell_angle_beta 90.00
_cell_angle_gamma 90.00
loop_
_atom_site_label
_atom_site_type_symbol
_atom_site_fract_x
_atom_site_fract_y
_atom_site_fract_z
Al1 Al 0.000 0.500 0.000
Co1 Co 0.000 0.000 0.500
Os1 Os 0.500 0.500 0.500
```

Summary:
**Volume**: 50 Å³ per cell
**Energy**: -26.8082 eV/atom
**Formation energy**: -636.3 meV per atom
**Theoretical density**: 10057 kg/m³
**M_tot**: 0.01 Bohr magnetons per cell

***

7.
Computed, not measured: a PBEsol-optimized structure of AlCoOs2 at the SCAN level of DFT.

```
data_AlCoOs2
_chemical_formula_sum 'Al3 Co3 Os6'
_symmetry_space_group_name_H-M 'R -3 m'
_symmetry_Int_Tables_number 166
_symmetry_space_group_name_Hall '-R 3 2"'
_cell_length_a 2.7023
_cell_length_b 2.7023
_cell_length_c 24.8364
_cell_angle_alpha 90.00
_cell_angle_beta 90.00
_cell_angle_gamma 120.00
loop_
_atom_site_label
_atom_site_type_symbol
_atom_site_fract_x
_atom_site_fract_y
_atom_site_fract_z
Al1 Al 0.0000 0.0000 0.0000
Co1 Co 0.0000 0.0000 0.5000
Os1 Os 0.0000 0.0000 0.2476
```

Summary:
**Volume**: 157 Å³ per cell
**Energy**: -42.1955 eV/atom
**Formation energy**: 8.5 meV per atom
**Theoretical density**: 14792 kg/m³
**M_tot**: 5.85 Bohr magnetons per cell

***

8.
Computed, not measured: a PBEsol-optimized structure of AlCoOs2 at the SCAN level of DFT.

```
data_AlCoOs2
_chemical_formula_sum 'Al1 Co1 Os2'
_symmetry_space_group_name_H-M 'P 4/m m m'
_symmetry_Int_Tables_number 123
_symmetry_space_group_name_Hall '-P 4 2'
_cell_length_a 3.731
_cell_length_b 3.731
_cell_length_c 3.720
_cell_angle_alpha 90.00
_cell_angle_beta 90.00
_cell_angle_gamma 90.00
loop_
_atom_site_label
_atom_site_type_symbol
_atom_site_fract_x
_atom_site_fract_y
_atom_site_fract_z
Al1 Al 0.000 0.000 0.000
Co1 Co 0.500 0.500 0.000
Os1 Os 0.000 0.500 0.500
```

Summary:
**Volume**: 52 Å³ per cell
**Energy**: -42.1259 eV/atom
**Formation energy**: 78.1 meV per atom
**Theoretical density**: 14955 kg/m³
**M_tot**: 0.00 Bohr magnetons per cell

***

9.
Computed, not measured: a PBEsol-optimized structure of Al2CoOs at the SCAN level of DFT.

```
data_Al2CoOs
_chemical_formula_sum 'Al2 Co1 Os1'
_symmetry_space_group_name_H-M 'P 4 m m'
_symmetry_Int_Tables_number 99
_symmetry_space_group_name_Hall 'P 4 -2'
_cell_length_a 3.074
_cell_length_b 3.074
_cell_length_c 5.490
_cell_angle_alpha 90.00
_cell_angle_beta 90.00
_cell_angle_gamma 90.00
loop_
_atom_site_label
_atom_site_type_symbol
_atom_site_fract_x
_atom_site_fract_y
_atom_site_fract_z
Al1 Al 0.000 0.000 0.000
Al2 Al 0.500 0.500 0.288
Co1 Co 0.000 0.000 0.487
Os1 Os 0.500 0.500 0.776
```

Summary:
**Volume**: 52 Å³ per cell
**Energy**: -26.4647 eV/atom
**Formation energy**: -292.7 meV per atom
**Theoretical density**: 9703 kg/m³
**M_tot**: 1.54 Bohr magnetons per cell

***

10.
Computed, not measured: a PBEsol-optimized structure of AlCo2Os at the SCAN level of DFT.

```
data_AlCo2Os
_chemical_formula_sum 'Al1 Co2 Os1'
_symmetry_space_group_name_H-M 'P m m m'
_symmetry_Int_Tables_number 47
_symmetry_space_group_name_Hall '-P 2 2'
_cell_length_a 2.918
_cell_length_b 4.052
_cell_length_c 4.078
_cell_angle_alpha 90.00
_cell_angle_beta 90.00
_cell_angle_gamma 90.00
loop_
_atom_site_label
_atom_site_type_symbol
_atom_site_fract_x
_atom_site_fract_y
_atom_site_fract_z
Al1 Al 0.000 0.000 0.000
Co1 Co 0.000 0.500 0.500
Co2 Co 0.500 0.000 0.500
Os1 Os 0.500 0.500 0.000
```

Summary:
**Volume**: 48 Å³ per cell
**Energy**: -28.7984 eV/atom
**Formation energy**: -238.4 meV per atom
**Theoretical density**: 11538 kg/m³
**M_tot**: 3.84 Bohr magnetons per cell

***

11.
Computed, not measured: a PBEsol-optimized structure of AlCoOs2 at the SCAN level of DFT.

```
data_AlCoOs2
_chemical_formula_sum 'Al2 Co2 Os4'
_symmetry_space_group_name_H-M 'I m m 2'
_symmetry_Int_Tables_number 44
_symmetry_space_group_name_Hall 'I 2 -2'
_cell_length_a 2.895
_cell_length_b 4.187
_cell_length_c 8.350
_cell_angle_alpha 90.00
_cell_angle_beta 90.00
_cell_angle_gamma 90.00
loop_
_atom_site_label
_atom_site_type_symbol
_atom_site_fract_x
_atom_site_fract_y
_atom_site_fract_z
Al1 Al 0.000 0.000 0.000
Co1 Co 0.000 0.500 0.724
Os1 Os 0.000 0.000 0.485
Os2 Os 0.000 0.500 0.250
```

Summary:
**Volume**: 101 Å³ per cell
**Energy**: -42.3391 eV/atom
**Formation energy**: -135.1 meV per atom
**Theoretical density**: 15304 kg/m³
**M_tot**: 2.90 Bohr magnetons per cell

***

12.
Computed, not measured: a PBEsol-optimized structure of AlCoOs2 at the SCAN level of DFT.

```
data_AlCoOs2
_chemical_formula_sum 'Al2 Co2 Os4'
_symmetry_space_group_name_H-M 'C 1 2/m 1'
_symmetry_Int_Tables_number 12
_symmetry_space_group_name_Hall '-C 2y'
_cell_length_a 8.582
_cell_length_b 2.696
_cell_length_c 4.597
_cell_angle_alpha 90.00
_cell_angle_beta 101.14
_cell_angle_gamma 90.00
loop_
_atom_site_label
_atom_site_type_symbol
_atom_site_fract_x
_atom_site_fract_y
_atom_site_fract_z
Al1 Al 0.000 0.000 0.000
Co1 Co 0.000 0.500 0.500
Os1 Os 0.245 0.000 0.740
```

Summary:
**Volume**: 104 Å³ per cell
**Energy**: -42.2348 eV/atom
**Formation energy**: -30.8 meV per atom
**Theoretical density**: 14843 kg/m³
**M_tot**: 2.22 Bohr magnetons per cell